[1]
Compound: Ce2SmZn2In2
Source: the Alexandria database
Functional: PBE-GGA
Structure: optimized geometry

Cell and atoms, written as POSCAR:
```
Ce2SmZn2In2
1.0
4.568 0.000 0.000
2.284 3.956 0.000
2.284 1.319 9.340
In Zn Ce Sm
2 2 2 1
direct
0.265 0.265 0.205
0.735 0.735 0.795
0.410 0.410 0.770
0.590 0.590 0.230
0.143 0.143 0.571
0.857 0.857 0.429
0.000 0.000 0.000
```

Results
**Space-group type**: R-3m (166)
**DFT formation energy**: -1.949 eV per formula unit

***

[2]
Compound: LaRuSe
Source: the Alexandria database
Functional: PBE-GGA
Structure: optimized geometry

Cell and atoms, written as POSCAR:
```
LaRuSe
1.0
-2.701 -4.045 -0.371
0.503 -3.578 3.277
-3.551 -0.866 3.230
Se Ru La
1 1 1
direct
0.500 0.500 0.500
0.000 0.000 0.000
0.750 0.750 0.750
```

Results
**Raw formation energy**: 152 meV/atom
**Space-group type**: F-43m (216)

***

[3]
Compound: YTl3
Source: the Alexandria database
Functional: PBE-GGA
Structure: optimized geometry

Cell and atoms, written as POSCAR:
```
YTl3
1.0
4.773 0.000 0.000
0.000 4.773 0.000
0.000 0.000 4.774
Y Tl
1 3
direct
0.500 0.000 0.583
0.000 0.500 0.583
0.000 0.000 0.083
0.500 0.500 0.084
```

Results
**Space-group type**: Pm-3m (221)
**DFT formation energy**: -1.003 eV per formula unit

***

[4]
Compound: HfB3O
Source: the Alexandria database
Functional: PBE-GGA
Structure: optimized geometry

Cell and atoms, written as POSCAR:
```
HfB3O
1.0
3.666 0.000 0.000
0.000 3.666 0.000
0.000 0.000 3.666
B O Hf
3 1 1
direct
0.000 0.500 0.000
0.500 0.000 0.000
0.000 0.000 0.500
0.000 0.000 0.000
0.500 0.500 0.500
```

Results
**Raw formation energy**: 912 meV/atom
**Space-group type**: Pm-3m (221)